An optimized crystal structure of PuZnCo2, computed with PBE.

Geometry as POSCAR:
```
PuZnCo2
1.0
3.079 0.000 0.000
0.000 3.079 0.000
0.000 0.000 6.245
Pu Zn Co
1 1 2
Cartesian
0.000 0.000 0.000
0.000 0.000 3.123
1.539 1.539 1.802
1.539 1.539 4.443
```

* final energy: -29.53 eV per formula unit
* formation energy from the elements: 0.0711 eV/atom
* space group: P4/mmm (123)